A plane-wave DFT calculation with PBE was carried out for an optimized crystal structure of ScAsW.

The formation energy comes out at 0.02 eV per atom. Its excess energy over the best structure of this formula in the dataset is 260 meV/atom. As for the final energy: -95.510 eV per cell.

It has space group F-43m (No. 216), with a = 6.102 Å, b = 6.102 Å, c = 6.102 Å, α = 90.00°, β = 90.00° and γ = 90.00°. The asymmetric unit holds Sc at (0.000, 0.000, 0.000), As at (0.250, 0.250, 0.750) and W at (0.000, 0.000, 0.500).

A plane-wave DFT calculation with PBE was carried out for an optimized crystal structure of ScAsW.

The formation energy comes out at -0.13 eV per atom. Its excess energy over the best structure of this formula in the dataset is 113 meV/atom. As for the final energy: -24.318 eV per cell.

It has space group P3m1 (No. 156), with a = 3.2747 Å, b = 3.2747 Å, c = 6.0178 Å, α = 90.00°, β = 90.00° and γ = 120.00°. The asymmetric unit holds Sc at (0.0000, 0.0000, 0.0000), As at (0.3333, 0.6667, 0.6537) and W at (0.6667, 0.3333, 0.3697).

A plane-wave DFT calculation with PBE was carried out for an optimized crystal structure of Sc2AsW.

The formation energy comes out at 0.03 eV per atom. As for the final energy: -60.254 eV per cell.

It has space group Cmm2 (No. 35), with a = 3.560 Å, b = 4.977 Å, c = 8.827 Å, α = 90.00°, β = 90.00° and γ = 90.00°. The asymmetric unit holds Sc at (0.000, 0.000, 0.000), Sc at (0.000, 0.500, 0.314), As at (0.000, 0.000, 0.540) and W at (0.000, 0.500, 0.749).

A plane-wave DFT calculation with PBE was carried out for an optimized crystal structure of ScAs2W.

The formation energy comes out at -0.35 eV per atom. Its excess energy over the best structure of this formula in the dataset is 124 meV/atom. As for the final energy: -119.897 eV per cell.

It has space group Fm-3m (No. 225), with a = 6.442 Å, b = 6.442 Å, c = 6.442 Å, α = 90.00°, β = 90.00° and γ = 90.00°. The asymmetric unit holds Sc at (0.000, 0.000, 0.000), As at (0.250, 0.250, 0.250) and W at (0.000, 0.000, 0.500).

A plane-wave DFT calculation with PBE was carried out for an optimized crystal structure of ScAsW.

The formation energy comes out at -0.02 eV per atom. Its excess energy over the best structure of this formula in the dataset is 219 meV/atom. As for the final energy: -23.999 eV per cell.

It has space group P-6m2 (No. 187), with a = 4.5450 Å, b = 4.5450 Å, c = 2.9661 Å, α = 90.00°, β = 90.00° and γ = 120.00°. The asymmetric unit holds Sc at (0.0000, 0.0000, 0.0000), As at (0.6667, 0.3333, 0.5000) and W at (0.3333, 0.6667, 0.5000).

A plane-wave DFT calculation with PBE was carried out for an optimized crystal structure of ScAs2W.

The formation energy comes out at -0.34 eV per atom. Its excess energy over the best structure of this formula in the dataset is 135 meV/atom. As for the final energy: -29.930 eV per cell.

It has space group P4/mmm (No. 123), with a = 3.184 Å, b = 3.184 Å, c = 6.734 Å, α = 90.00°, β = 90.00° and γ = 90.00°. The asymmetric unit holds Sc at (0.000, 0.000, 0.000), As at (0.500, 0.500, 0.276) and W at (0.000, 0.000, 0.500).

A plane-wave DFT calculation with PBE was carried out for an optimized crystal structure of Sc2AsW.

The formation energy comes out at -0.17 eV per atom. As for the final energy: -30.936 eV per cell.

It has space group P4/mmm (No. 123), with a = 2.991 Å, b = 2.991 Å, c = 8.376 Å, α = 90.00°, β = 90.00° and γ = 90.00°. The asymmetric unit holds Sc at (0.000, 0.000, 0.242), As at (0.500, 0.500, 0.000) and W at (0.500, 0.500, 0.500).

A plane-wave DFT calculation with PBE was carried out for an optimized crystal structure of Sc2AsW.

The formation energy comes out at -0.34 eV per atom. As for the final energy: -31.643 eV per cell.

It has space group P4/mmm (No. 123), with a = 3.484 Å, b = 3.484 Å, c = 6.020 Å, α = 90.00°, β = 90.00° and γ = 90.00°. The asymmetric unit holds Sc at (0.000, 0.000, 0.246), As at (0.500, 0.500, 0.000) and W at (0.500, 0.500, 0.500).

Question: Number 3 is which compound?
Answer: Sc2AsW